Compound: NaCaCuPt2
Source: Alexandria
Functional: PBEsol
Structure: optimized geometry

```
NaCaCuPt2
1.0
5.0124 0.0000 0.0000
0.0000 5.0124 0.0000
0.0000 0.0000 4.9700
Na Ca Cu Pt
1 1 1 2
direct
0.0000 0.0000 0.0000 Na
0.5000 0.5000 0.5000 Ca
0.5000 0.5000 0.0000 Cu
0.0000 0.5000 0.5000 Pt
0.5000 0.0000 0.5000 Pt
```

Calculated values
**M_tot**: 0.000 μB per formula unit
**D(E_F)**: 2.26 states/eV/f.u.
**Calculated formation energy**: 0.9639 eV per atom

Compound: NaCaZn2Cu
Source: Alexandria
Functional: PBEsol
Structure: optimized geometry

```
NaCaZn2Cu
1.0
5.5033 0.0000 0.0000
0.0000 5.5033 0.0000
0.0000 0.0000 6.0965
Na Ca Zn Cu
1 1 2 1
direct
0.0000 0.0000 0.0000 Na
0.0000 0.0000 0.5000 Ca
0.0000 0.5000 0.5000 Zn
0.5000 0.0000 0.5000 Zn
0.5000 0.5000 0.0000 Cu
```

Calculated values
**M_tot**: 0.000 μB per formula unit
**D(E_F)**: 2.48 states/eV/f.u.
**Calculated formation energy**: 1.1839 eV per atom

Compound: CaNbCu3
Source: Alexandria
Functional: PBEsol
Structure: optimized geometry

```
CaNbCu3
1.0
4.7571 0.0000 0.0000
0.0000 4.7571 0.0000
0.0000 0.0000 4.7571
Ca Nb Cu
1 1 3
direct
0.0000 0.0000 0.0000 Ca
0.5000 0.5000 0.5000 Nb
0.0000 0.5000 0.5000 Cu
0.5000 0.0000 0.5000 Cu
0.5000 0.5000 0.0000 Cu
```

Calculated values
**M_tot**: 0.002 μB per formula unit
**D(E_F)**: 4.63 states/eV/f.u.
**Calculated formation energy**: 0.8482 eV per atom

Compound: CaNb2CuTe
Source: Alexandria
Functional: PBEsol
Structure: optimized geometry

```
CaNb2CuTe
1.0
4.9207 0.0000 0.0000
0.0000 4.9207 0.0000
0.0000 0.0000 4.4905
Ca Nb Cu Te
1 2 1 1
direct
0.0000 0.0000 0.0000 Ca
0.0000 0.5000 0.0000 Nb
0.5000 0.0000 0.0000 Nb
0.0000 0.0000 0.5000 Cu
0.5000 0.5000 0.5000 Te
```

Calculated values
**VASP energy**: -4.427 eV/atom
**M_tot**: 0.000 μB per formula unit
**D(E_F)**: 6.34 states/eV/f.u.

V / Å³/f.u.: 125; 185; 108; 109